Entry 1:
DFT (GGA-PBEsol) results for crystalline PdCI2N at its relaxed geometry.

## Properties
ΔE_f (raw)	1886	meV/atom
DOS(E_F)	3.88	states/eV/cell

a = 5.479 Å, b = 5.479 Å, c = 3.671 Å
α = 90.00°, β = 90.00°, γ = 90.00°
Space group P4/mmm (No. 123)
Inequivalent atoms, fractional coordinates:
Pd  0.000  0.000  0.000 (multiplicity 1)
C  0.500  0.500  0.500 (multiplicity 1)
I  0.000  0.500  0.000 (multiplicity 2)
N  0.000  0.000  0.500 (multiplicity 1)

---

Entry 2:
DFT (GGA-PBEsol) results for crystalline CdTc2Ag at its relaxed geometry.

## Properties
energy of formation	0.535	eV per atom
DOS(E_F)	12.45	states/eV/cell

a = 2.7470 Å, b = 2.7470 Å, c = 28.6232 Å
α = 90.00°, β = 90.00°, γ = 120.00°
Space group R-3m (No. 166, hexagonal axes)
Inequivalent atoms, fractional coordinates:
Cd  0.0000  0.0000  0.0000 (multiplicity 3)
Tc  0.0000  0.0000  0.2486 (multiplicity 6)
Ag  0.0000  0.0000  0.5000 (multiplicity 3)

---

Entry 3:
DFT (GGA-PBEsol) results for crystalline KBeCl2 at its relaxed geometry.

## Properties
ΔE_f (raw)	-790	meV/atom
DOS(E_F)	0.70	states/eV/cell

a = 3.815 Å, b = 3.815 Å, c = 6.426 Å
α = 90.00°, β = 90.00°, γ = 90.00°
Space group P4mm (No. 99)
Inequivalent atoms, fractional coordinates:
K  0.000  0.000  0.000 (multiplicity 1)
Be  0.500  0.500  0.469 (multiplicity 1)
Cl  0.000  0.000  0.454 (multiplicity 1)
Cl  0.500  0.500  0.779 (multiplicity 1)

---

Entry 4:
DFT (GGA-PBEsol) results for crystalline SrLi3Y at its relaxed geometry.

## Properties
energy of formation	0.782	eV per atom
DOS(E_F)	6.79	states/eV/cell

a = 5.294 Å, b = 5.294 Å, c = 5.294 Å
α = 90.00°, β = 90.00°, γ = 90.00°
Space group Pm-3m (No. 221)
Inequivalent atoms, fractional coordinates:
Sr  0.000  0.000  0.000 (multiplicity 1)
Li  0.000  0.000  0.500 (multiplicity 3)
Y  0.500  0.500  0.500 (multiplicity 1)